A relaxed structure of SnGeSb2. Source: Alexandria, functional PBE-GGA.

Unit cell a=4.074 b=4.074 c=7.764 alpha=103.83 beta=103.83 gamma=61.87
Atoms (fractional coordinates):
Sn 0.000 0.000 0.000
Ge 0.835 0.835 0.493
Sb 0.250 0.250 0.731
Sb 0.430 0.430 0.277

## Properties
The value obtained for the magnetic moment is 0.00 μB/atom. As for the energy relative to the lowest polymorph listed for this composition: 0.14 eV/f.u. As for the raw formation energy: 0.12 eV per atom. Its total energy is -4.095 eV per atom.

***

A relaxed structure of SnGeSb3. Source: Alexandria, functional PBE-GGA.

Unit cell a=5.368 b=5.368 c=5.368 alpha=90.00 beta=90.00 gamma=90.00
Atoms (fractional coordinates):
Sn 0.000 0.000 0.000
Ge 0.500 0.500 0.500
Sb 0.000 0.500 0.500
Sb 0.500 0.000 0.500
Sb 0.500 0.500 0.000

## Properties
The value obtained for the magnetic moment is 0.00 μB/atom. As for the energy relative to the lowest polymorph listed for this composition: 0.00 eV/f.u. As for the raw formation energy: 0.57 eV per atom. Its total energy is -3.632 eV per atom.

***

A relaxed structure of Sn4GeSb6. Source: Alexandria, functional PBE-GGA.

Unit cell a=8.293 b=8.293 c=13.902 alpha=109.00 beta=109.00 gamma=57.49
Atoms (fractional coordinates):
Sn 0.036 0.600 0.128
Sn 0.073 0.927 0.500
Sn 0.121 0.280 0.808
Sn 0.280 0.121 0.308
Sn 0.411 0.629 0.820
Sn 0.600 0.036 0.628
Sn 0.629 0.411 0.320
Sn 0.927 0.073 0.000
Ge 0.032 0.489 0.558
Ge 0.489 0.032 0.058
Sb 0.037 0.636 0.757
Sb 0.245 0.779 0.311
Sb 0.344 0.798 0.032
Sb 0.345 0.368 0.005
Sb 0.368 0.345 0.505
Sb 0.376 0.895 0.693
Sb 0.636 0.037 0.257
Sb 0.779 0.245 0.811
Sb 0.779 0.802 0.954
Sb 0.798 0.344 0.532
Sb 0.802 0.779 0.454
Sb 0.895 0.376 0.193

## Properties
The value obtained for the magnetic moment is 0.00 μB/atom. As for the raw formation energy: 0.12 eV per atom. Its total energy is -4.007 eV per atom.

***

A relaxed structure of SnGe2Sb. Source: Alexandria, functional PBE-GGA.

Unit cell a=7.806 b=7.806 c=7.806 alpha=132.32 beta=132.32 gamma=69.73
Atoms (fractional coordinates):
Sn 0.000 0.000 0.000
Sn 0.750 0.250 0.500
Ge 0.121 0.625 0.996
Ge 0.375 0.371 0.496
Ge 0.629 0.125 0.004
Ge 0.875 0.879 0.504
Sb 0.250 0.750 0.500
Sb 0.500 0.500 0.000

## Properties
The value obtained for the magnetic moment is 0.00 μB/atom. As for the energy relative to the lowest polymorph listed for this composition: 0.00 eV/f.u. As for the raw formation energy: 0.18 eV per atom. Its total energy is -4.164 eV per atom.

***

A relaxed structure of SnGeSb. Source: Alexandria, functional PBE-GGA.

Unit cell a=6.117 b=6.117 c=5.151 alpha=114.57 beta=114.57 gamma=63.03
Atoms (fractional coordinates):
Sn 0.000 0.500 0.000
Sn 0.500 0.000 0.000
Ge 0.061 0.061 0.311
Ge 0.939 0.939 0.689
Sb 0.393 0.393 0.642
Sb 0.607 0.607 0.358

## Properties
The value obtained for the magnetic moment is 0.00 μB/atom. As for the energy relative to the lowest polymorph listed for this composition: 0.23 eV/f.u. As for the raw formation energy: 0.19 eV per atom. Its total energy is -4.060 eV per atom.

***

A relaxed structure of SnGeSb. Source: Alexandria, functional PBE-GGA.

Unit cell a=6.289 b=6.289 c=6.289 alpha=146.44 beta=146.44 gamma=48.20
Atoms (fractional coordinates):
Sn 0.000 0.000 0.000
Ge 0.657 0.657 0.000
Sb 0.288 0.288 0.000

## Properties
The value obtained for the magnetic moment is 0.00 μB/atom. As for the energy relative to the lowest polymorph listed for this composition: 0.18 eV/f.u. As for the raw formation energy: 0.17 eV per atom. Its total energy is -4.078 eV per atom.

***

A relaxed structure of SnGeSb2. Source: Alexandria, functional PBE-GGA.

Unit cell a=7.487 b=7.487 c=7.487 alpha=123.66 beta=123.66 gamma=83.77
Atoms (fractional coordinates):
Sn 0.000 0.000 0.000
Sn 0.750 0.250 0.500
Ge 0.250 0.750 0.500
Ge 0.500 0.500 0.000
Sb 0.149 0.625 0.024
Sb 0.375 0.399 0.524
Sb 0.601 0.125 0.976
Sb 0.875 0.851 0.476

## Properties
The value obtained for the magnetic moment is 0.00 μB/atom. As for the energy relative to the lowest polymorph listed for this composition: 0.52 eV/f.u. As for the raw formation energy: 0.22 eV per atom. Its total energy is -3.998 eV per atom.

***

A relaxed structure of SnGeSb2. Source: Alexandria, functional PBE-GGA.

Unit cell a=7.324 b=7.324 c=7.324 alpha=33.80 beta=33.80 gamma=33.80
Atoms (fractional coordinates):
Sn 0.000 0.000 0.000
Ge 0.500 0.500 0.500
Sb 0.244 0.244 0.244
Sb 0.756 0.756 0.756

## Properties
The value obtained for the magnetic moment is 0.00 μB/atom. As for the energy relative to the lowest polymorph listed for this composition: 0.00 eV/f.u. As for the raw formation energy: 0.09 eV per atom. Its total energy is -4.129 eV per atom.

***

Which of these has the highest raw formation energy? SnGeSb3